[1]
# MnSiTe3, optimized geometry, DFT GGA-PBE
data_MnSiTe3
_chemical_formula_sum 'Mn1 Si1 Te3'
_symmetry_space_group_name_H-M 'P m -3 m'
_symmetry_Int_Tables_number 221
_symmetry_space_group_name_Hall '-P 4 2 3'
_cell_length_a 5.173
_cell_length_b 5.173
_cell_length_c 5.173
_cell_angle_alpha 90.00
_cell_angle_beta 90.00
_cell_angle_gamma 90.00
loop_
_atom_site_label
_atom_site_type_symbol
_atom_site_fract_x
_atom_site_fract_y
_atom_site_fract_z
Mn1 Mn 0.000 0.000 0.000
Si1 Si 0.500 0.500 0.500
Te1 Te 0.000 0.000 0.500
# Energy ... -4.23 eV/atom
# Formation energy without anion corrections ... 578 meV/atom
# Fermi-level density of states ... 3.115 states/eV/cell

---

[2]
# MnSi3Te, optimized geometry, DFT GGA-PBE
data_MnSi3Te
_chemical_formula_sum 'Mn1 Si3 Te1'
_symmetry_space_group_name_H-M 'P m -3 m'
_symmetry_Int_Tables_number 221
_symmetry_space_group_name_Hall '-P 4 2 3'
_cell_length_a 4.547
_cell_length_b 4.547
_cell_length_c 4.547
_cell_angle_alpha 90.00
_cell_angle_beta 90.00
_cell_angle_gamma 90.00
loop_
_atom_site_label
_atom_site_type_symbol
_atom_site_fract_x
_atom_site_fract_y
_atom_site_fract_z
Mn1 Mn 0.000 0.000 0.000
Si1 Si 0.000 0.000 0.500
Te1 Te 0.500 0.500 0.500
# Energy ... -5.40 eV/atom
# Formation energy without anion corrections ... 320 meV/atom
# Fermi-level density of states ... 3.734 states/eV/cell

---

[3]
# Mn2SiTe, optimized geometry, DFT GGA-PBE
data_Mn2SiTe
_chemical_formula_sum 'Mn2 Si1 Te1'
_symmetry_space_group_name_H-M 'P 4/m m m'
_symmetry_Int_Tables_number 123
_symmetry_space_group_name_Hall '-P 4 2'
_cell_length_a 3.050
_cell_length_b 3.050
_cell_length_c 6.684
_cell_angle_alpha 90.00
_cell_angle_beta 90.00
_cell_angle_gamma 90.00
loop_
_atom_site_label
_atom_site_type_symbol
_atom_site_fract_x
_atom_site_fract_y
_atom_site_fract_z
Mn1 Mn 0.000 0.000 0.194
Si1 Si 0.500 0.500 0.000
Te1 Te 0.500 0.500 0.500
# Energy ... -6.51 eV/atom
# Formation energy without anion corrections ... 215 meV/atom
# Fermi-level density of states ... 3.299 states/eV/cell

---

[4]
# Mn2SiTe, optimized geometry, DFT GGA-PBE
data_Mn2SiTe
_chemical_formula_sum 'Mn8 Si4 Te4'
_symmetry_space_group_name_H-M 'I -4 2 d'
_symmetry_Int_Tables_number 122
_symmetry_space_group_name_Hall 'I -4 2bw'
_cell_length_a 5.083
_cell_length_b 5.083
_cell_length_c 14.348
_cell_angle_alpha 90.00
_cell_angle_beta 90.00
_cell_angle_gamma 90.00
loop_
_atom_site_label
_atom_site_type_symbol
_atom_site_fract_x
_atom_site_fract_y
_atom_site_fract_z
Mn1 Mn 0.190 0.250 0.125
Si1 Si 0.000 0.000 0.000
Te1 Te 0.000 0.000 0.500
# Energy ... -6.33 eV/atom
# Formation energy without anion corrections ... 401 meV/atom
# Fermi-level density of states ... 15.412 states/eV/cell

---

[5]
# Mn2SiTe, optimized geometry, DFT GGA-PBE
data_Mn2SiTe
_chemical_formula_sum 'Mn8 Si4 Te4'
_symmetry_space_group_name_H-M 'F m -3 m'
_symmetry_Int_Tables_number 225
_symmetry_space_group_name_Hall '-F 4 2 3'
_cell_length_a 5.991
_cell_length_b 5.991
_cell_length_c 5.991
_cell_angle_alpha 90.00
_cell_angle_beta 90.00
_cell_angle_gamma 90.00
loop_
_atom_site_label
_atom_site_type_symbol
_atom_site_fract_x
_atom_site_fract_y
_atom_site_fract_z
Mn1 Mn 0.250 0.250 0.250
Si1 Si 0.000 0.000 0.000
Te1 Te 0.000 0.000 0.500
# Energy ... -6.48 eV/atom
# Formation energy without anion corrections ... 242 meV/atom
# Fermi-level density of states ... 10.070 states/eV/cell

---

[6]
# MnSi4Te, optimized geometry, DFT GGA-PBE
data_MnSi4Te
_chemical_formula_sum 'Mn4 Si16 Te4'
_symmetry_space_group_name_H-M 'F -4 3 m'
_symmetry_Int_Tables_number 216
_symmetry_space_group_name_Hall 'F -4 2 3'
_cell_length_a 7.423
_cell_length_b 7.423
_cell_length_c 7.423
_cell_angle_alpha 90.00
_cell_angle_beta 90.00
_cell_angle_gamma 90.00
loop_
_atom_site_label
_atom_site_type_symbol
_atom_site_fract_x
_atom_site_fract_y
_atom_site_fract_z
Mn1 Mn 0.000 0.000 0.000
Si1 Si 0.126 0.126 0.626
Te1 Te 0.250 0.250 0.250
# Energy ... -5.10 eV/atom
# Formation energy without anion corrections ... 567 meV/atom
# Fermi-level density of states ... 16.498 states/eV/cell

---

[7]
# Mn2SiTe, optimized geometry, DFT GGA-PBE
data_Mn2SiTe
_chemical_formula_sum 'Mn2 Si1 Te1'
_symmetry_space_group_name_H-M 'P 4 m m'
_symmetry_Int_Tables_number 99
_symmetry_space_group_name_Hall 'P 4 -2'
_cell_length_a 3.318
_cell_length_b 3.318
_cell_length_c 5.577
_cell_angle_alpha 90.00
_cell_angle_beta 90.00
_cell_angle_gamma 90.00
loop_
_atom_site_label
_atom_site_type_symbol
_atom_site_fract_x
_atom_site_fract_y
_atom_site_fract_z
Mn1 Mn 0.000 0.000 0.000
Mn2 Mn 0.500 0.500 0.296
Si1 Si 0.000 0.000 0.422
Te1 Te 0.500 0.500 0.795
# Energy ... -6.63 eV/atom
# Formation energy without anion corrections ... 92 meV/atom
# Fermi-level density of states ... 2.070 states/eV/cell

---

[8]
# Mn2SiTe, optimized geometry, DFT GGA-PBE
data_Mn2SiTe
_chemical_formula_sum 'Mn4 Si2 Te2'
_symmetry_space_group_name_H-M 'I m m 2'
_symmetry_Int_Tables_number 44
_symmetry_space_group_name_Hall 'I 2 -2'
_cell_length_a 3.099
_cell_length_b 3.607
_cell_length_c 11.873
_cell_angle_alpha 90.00
_cell_angle_beta 90.00
_cell_angle_gamma 90.00
loop_
_atom_site_label
_atom_site_type_symbol
_atom_site_fract_x
_atom_site_fract_y
_atom_site_fract_z
Mn1 Mn 0.000 0.000 0.000
Mn2 Mn 0.000 0.500 0.312
Si1 Si 0.000 0.000 0.447
Te1 Te 0.000 0.500 0.691
# Energy ... -6.68 eV/atom
# Formation energy without anion corrections ... 49 meV/atom
# Fermi-level density of states ... 5.433 states/eV/cell